(1)
DFT (PBE-GGA) results for a relaxed structure of HgIr2Ru.

a b c (Å): 9.3901 9.3901 9.3901
angles (deg): 17.26 17.26 17.26
Last column: nearest neighbours and their distance in Å.
Fractional positions:
Hg1 0.0000 0.0000 0.0000  6 Hg 2.82, 6 Ir 3.00
Ir1 0.2426 0.2426 0.2426  3 Ru 2.66, 6 Ir 2.82
Ir2 0.7574 0.7574 0.7574  3 Ru 2.66, 6 Ir 2.82
Ru1 0.5000 0.5000 0.5000  6 Ir 2.66, 6 Ru 2.82

## Properties
ΔH_f (0 K) = 310 meV/atom
Electronic total energy = -26.1 eV per formula unit

(2)
DFT (PBE-GGA) results for a relaxed structure of PmYSn.

a b c (Å): 4.6041 4.6041 8.6262
angles (deg): 90.00 90.00 90.00
Last column: nearest neighbours and their distance in Å.
Fractional positions:
Pm1 0.2500 0.2500 0.1508  5 Sn 3.26-3.32
Pm2 0.7500 0.7500 0.8492  5 Sn 3.26-3.32
Y1 0.2500 0.7500 0.5000  4 Y 3.26, 4 Sn 3.29
Y2 0.7500 0.2500 0.5000  4 Y 3.26, 4 Sn 3.29
Sn1 0.2500 0.2500 0.7728  5 Pm 3.26-3.32, 4 Y 3.29
Sn2 0.7500 0.7500 0.2272  5 Pm 3.26-3.32, 4 Y 3.29

## Properties
ΔH_f (0 K) = -603 meV/atom
Electronic total energy = -17.0 eV per formula unit
Offset from the most stable computed form = 0.000 eV/atom

(3)
DFT (PBE-GGA) results for a relaxed structure of InPt2F.

a b c (Å): 4.4713 4.4713 4.4713
angles (deg): 60.00 60.00 60.00
Last column: nearest neighbours and their distance in Å.
Fractional positions:
In1 0.0000 0.0000 0.0000  8 Pt 2.74
Pt1 0.2500 0.2500 0.2500  4 In 2.74, 4 F 2.74
Pt2 0.7500 0.7500 0.7500  4 F 2.74, 4 In 2.74
F1 0.5000 0.5000 0.5000  8 Pt 2.74

## Properties
Electronic total energy = -18.0 eV per formula unit
Offset from the most stable computed form = 0.000 eV/atom
Energy relative to the elements, uncorrected = -0.33 eV per atom

(4)
DFT (PBE-GGA) results for a relaxed structure of Cs2TePdO6.

a b c (Å): 6.5714 6.5714 5.4382
angles (deg): 90.00 90.00 120.00
Last column: nearest neighbours and their distance in Å.
Fractional positions:
Cs1 0.3333 0.6667 0.2013  12 O 3.33-3.72
Cs2 0.6667 0.3333 0.7987  12 O 3.33-3.72
Te1 0.0000 0.0000 0.5000  6 O 1.98
Pd1 0.0000 0.0000 0.0000  6 O 2.07
O1 0.1314 0.2628 0.7381  1 Te 1.98, 1 Pd 2.07
O2 0.1314 0.8686 0.7381  1 Te 1.98, 1 Pd 2.07
O3 0.2628 0.1314 0.2619  1 Te 1.98, 1 Pd 2.07
O4 0.7372 0.8686 0.7381  1 Te 1.98, 1 Pd 2.07
O5 0.8686 0.1314 0.2619  1 Te 1.98, 1 Pd 2.07
O6 0.8686 0.7372 0.2619  1 Te 1.98, 1 Pd 2.07

## Properties
Electronic total energy = -51.0 eV per formula unit
Energy relative to the elements, uncorrected = -1.12 eV per atom

(5)
DFT (PBE-GGA) results for a relaxed structure of Ga12Sb5Se3.

a b c (Å): 14.2107 14.2107 14.2107
angles (deg): 109.47 109.47 109.47
Last column: nearest neighbours and their distance in Å.
Fractional positions:
Ga1 0.0696 0.2311 0.1559  2 Sb 2.77-2.86, 1 Ga 2.78, 2 Se 2.84-2.97
Ga2 0.0696 0.3384 0.9136  2 Sb 2.77-2.86, 1 Ga 2.78, 2 Se 2.84-2.97
Ga3 0.0752 0.7311 0.6616  2 Sb 2.77-2.86, 1 Ga 2.78, 2 Se 2.84-2.97
Ga4 0.0752 0.8441 0.4136  2 Sb 2.77-2.86, 1 Ga 2.78, 2 Se 2.84-2.97
Ga5 0.0864 0.6559 0.4248  2 Sb 2.77-2.86, 1 Ga 2.78, 2 Se 2.84-2.97
Ga6 0.0864 0.9304 0.6616  2 Sb 2.77-2.86, 1 Ga 2.78, 2 Se 2.84-2.97
Ga7 0.1559 0.0696 0.2311  2 Sb 2.77-2.86, 1 Ga 2.78, 2 Se 2.84-2.97
Ga8 0.1559 0.5864 0.9248  2 Sb 2.77-2.86, 1 Ga 2.78, 2 Se 2.84-2.97
Ga9 0.1616 0.2311 0.5752  2 Sb 2.77-2.86, 1 Ga 2.78, 2 Se 2.84-2.97
Ga10 0.1616 0.4304 0.5864  2 Sb 2.77-2.86, 1 Ga 2.78, 2 Se 2.84-2.97
Ga11 0.2311 0.1559 0.0696  2 Sb 2.77-2.86, 1 Ga 2.78, 2 Se 2.84-2.97
Ga12 0.2311 0.5752 0.1616  2 Sb 2.77-2.86, 1 Ga 2.78, 2 Se 2.84-2.97
Ga13 0.2689 0.3384 0.9248  2 Sb 2.77-2.86, 1 Ga 2.78, 2 Se 2.84-2.97
Ga14 0.2689 0.4304 0.3441  2 Sb 2.77-2.86, 1 Ga 2.78, 2 Se 2.84-2.97
Ga15 0.3384 0.9136 0.0696  2 Sb 2.77-2.86, 1 Ga 2.78, 2 Se 2.84-2.97
Ga16 0.3384 0.9248 0.2689  2 Sb 2.77-2.86, 1 Ga 2.78, 2 Se 2.84-2.97
Ga17 0.3441 0.2689 0.4304  2 Sb 2.77-2.86, 1 Ga 2.78, 2 Se 2.84-2.97
Ga18 0.3441 0.5752 0.9136  2 Sb 2.77-2.86, 1 Ga 2.78, 2 Se 2.84-2.97
Ga19 0.4136 0.0752 0.8441  2 Sb 2.77-2.86, 1 Ga 2.78, 2 Se 2.84-2.97
Ga20 0.4136 0.8384 0.5696  2 Sb 2.77-2.86, 1 Ga 2.78, 2 Se 2.84-2.97
Ga21 0.4248 0.0864 0.6559  2 Sb 2.77-2.86, 1 Ga 2.78, 2 Se 2.84-2.97
Ga22 0.4248 0.8384 0.7689  2 Sb 2.77-2.86, 1 Ga 2.78, 2 Se 2.84-2.97
Ga23 0.4304 0.3441 0.2689  2 Sb 2.77-2.86, 1 Ga 2.78, 2 Se 2.84-2.97
Ga24 0.4304 0.5864 0.1616  2 Sb 2.77-2.86, 1 Ga 2.78, 2 Se 2.84-2.97
Ga25 0.5696 0.4136 0.8384  2 Sb 2.77-2.86, 1 Ga 2.78, 2 Se 2.84-2.97
Ga26 0.5696 0.6559 0.7311  2 Sb 2.77-2.86, 1 Ga 2.78, 2 Se 2.84-2.97
Ga27 0.5752 0.1616 0.2311  2 Sb 2.77-2.86, 1 Ga 2.78, 2 Se 2.84-2.97
Ga28 0.5752 0.9136 0.3441  2 Sb 2.77-2.86, 1 Ga 2.78, 2 Se 2.84-2.97
Ga29 0.5864 0.1616 0.4304  2 Sb 2.77-2.86, 1 Ga 2.78, 2 Se 2.84-2.97
Ga30 0.5864 0.9248 0.1559  2 Sb 2.77-2.86, 1 Ga 2.78, 2 Se 2.84-2.97
Ga31 0.6559 0.4248 0.0864  2 Sb 2.77-2.86, 1 Ga 2.78, 2 Se 2.84-2.97
Ga32 0.6559 0.7311 0.5696  2 Sb 2.77-2.86, 1 Ga 2.78, 2 Se 2.84-2.97
Ga33 0.6616 0.0752 0.7311  2 Sb 2.77-2.86, 1 Ga 2.78, 2 Se 2.84-2.97
Ga34 0.6616 0.0864 0.9304  2 Sb 2.77-2.86, 1 Ga 2.78, 2 Se 2.84-2.97
Ga35 0.7311 0.5696 0.6559  2 Sb 2.77-2.86, 1 Ga 2.78, 2 Se 2.84-2.97
Ga36 0.7311 0.6616 0.0752  2 Sb 2.77-2.86, 1 Ga 2.78, 2 Se 2.84-2.97
Ga37 0.7689 0.4248 0.8384  2 Sb 2.77-2.86, 1 Ga 2.78, 2 Se 2.84-2.97
Ga38 0.7689 0.8441 0.9304  2 Sb 2.77-2.86, 1 Ga 2.78, 2 Se 2.84-2.97
Ga39 0.8384 0.5696 0.4136  2 Sb 2.77-2.86, 1 Ga 2.78, 2 Se 2.84-2.97
Ga40 0.8384 0.7689 0.4248  2 Sb 2.77-2.86, 1 Ga 2.78, 2 Se 2.84-2.97
Ga41 0.8441 0.4136 0.0752  2 Sb 2.77-2.86, 1 Ga 2.78, 2 Se 2.84-2.97
Ga42 0.8441 0.9304 0.7689  2 Sb 2.77-2.86, 1 Ga 2.78, 2 Se 2.84-2.97
Ga43 0.9136 0.0696 0.3384  2 Sb 2.77-2.86, 1 Ga 2.78, 2 Se 2.84-2.97
Ga44 0.9136 0.3441 0.5752  2 Sb 2.77-2.86, 1 Ga 2.78, 2 Se 2.84-2.97
Ga45 0.9248 0.1559 0.5864  2 Sb 2.77-2.86, 1 Ga 2.78, 2 Se 2.84-2.97
Ga46 0.9248 0.2689 0.3384  2 Sb 2.77-2.86, 1 Ga 2.78, 2 Se 2.84-2.97
Ga47 0.9304 0.6616 0.0864  2 Sb 2.77-2.86, 1 Ga 2.78, 2 Se 2.84-2.97
Ga48 0.9304 0.7689 0.8441  2 Sb 2.77-2.86, 1 Ga 2.78, 2 Se 2.84-2.97
Sb1 0.0000 0.0000 0.0000  6 Ga 2.86
Sb2 0.0000 0.0000 0.5000  6 Ga 2.86
Sb3 0.0000 0.5000 0.0000  6 Ga 2.86
Sb4 0.0000 0.5000 0.5000  6 Ga 2.86
Sb5 0.1250 0.7500 0.8750  4 Ga 2.77
Sb6 0.1250 0.8750 0.2500  4 Ga 2.77
Sb7 0.2500 0.1250 0.8750  4 Ga 2.77
Sb8 0.2500 0.6250 0.3750  4 Ga 2.77
Sb9 0.3750 0.2500 0.6250  4 Ga 2.77
Sb10 0.3750 0.6250 0.7500  4 Ga 2.77
Sb11 0.5000 0.0000 0.0000  6 Ga 2.86
Sb12 0.5000 0.0000 0.5000  6 Ga 2.86
Sb13 0.5000 0.5000 0.0000  6 Ga 2.86
Sb14 0.5000 0.5000 0.5000  6 Ga 2.86
Sb15 0.6250 0.3750 0.2500  4 Ga 2.77
Sb16 0.6250 0.7500 0.3750  4 Ga 2.77
Sb17 0.7500 0.3750 0.6250  4 Ga 2.77
Sb18 0.7500 0.8750 0.1250  4 Ga 2.77
Sb19 0.8750 0.1250 0.7500  4 Ga 2.77
Sb20 0.8750 0.2500 0.1250  4 Ga 2.77
Se1 0.1250 0.2500 0.3750  8 Ga 2.84-2.97
Se2 0.1250 0.3750 0.7500  8 Ga 2.84-2.97
Se3 0.2500 0.3750 0.1250  8 Ga 2.84-2.97
Se4 0.2500 0.8750 0.6250  8 Ga 2.84-2.97
Se5 0.3750 0.1250 0.2500  8 Ga 2.84-2.97
Se6 0.3750 0.7500 0.1250  8 Ga 2.84-2.97
Se7 0.6250 0.2500 0.8750  8 Ga 2.84-2.97
Se8 0.6250 0.8750 0.7500  8 Ga 2.84-2.97
Se9 0.7500 0.1250 0.3750  8 Ga 2.84-2.97
Se10 0.7500 0.6250 0.8750  8 Ga 2.84-2.97
Se11 0.8750 0.6250 0.2500  8 Ga 2.84-2.97
Se12 0.8750 0.7500 0.6250  8 Ga 2.84-2.97

## Properties
Electronic total energy = -66.1 eV per formula unit
Energy relative to the elements, uncorrected = 0.06 eV per atom

(6)
DFT (PBE-GGA) results for a relaxed structure of Ce7Th4Pb6.

a b c (Å): 8.8013 8.8013 8.8013
angles (deg): 109.47 109.47 109.47
Last column: nearest neighbours and their distance in Å.
Fractional positions:
Ce1 0.0000 0.0000 0.0000  6 Pb 3.05
Ce2 0.2500 0.5000 0.7500  4 Pb 3.25, 4 Ce 3.59, 4 Th 3.59
Ce3 0.2500 0.7500 0.5000  4 Pb 3.25, 4 Ce 3.59, 4 Th 3.59
Ce4 0.5000 0.2500 0.7500  4 Pb 3.25, 4 Ce 3.59, 4 Th 3.59
Ce5 0.5000 0.7500 0.2500  4 Pb 3.25, 4 Ce 3.59, 4 Th 3.59
Ce6 0.7500 0.2500 0.5000  4 Pb 3.25, 4 Th 3.59, 4 Ce 3.59
Ce7 0.7500 0.5000 0.2500  4 Pb 3.25, 4 Ce 3.59, 4 Th 3.59
Th1 0.0000 0.0000 0.5000  6 Ce 3.59, 6 Pb 3.63
Th2 0.0000 0.5000 0.0000  6 Ce 3.59, 6 Pb 3.63
Th3 0.5000 0.0000 0.0000  6 Ce 3.59, 6 Pb 3.63
Th4 0.5000 0.5000 0.5000  6 Ce 3.59, 6 Pb 3.63
Pb1 0.0000 0.2999 0.2999  5 Ce 3.05-3.25
Pb2 0.0000 0.7001 0.7001  5 Ce 3.05-3.25
Pb3 0.2999 0.0000 0.2999  5 Ce 3.05-3.25
Pb4 0.2999 0.2999 0.0000  5 Ce 3.05-3.25
Pb5 0.7001 0.0000 0.7001  5 Ce 3.05-3.25
Pb6 0.7001 0.7001 0.0000  5 Ce 3.05-3.25

## Properties
ΔH_f (0 K) = -131 meV/atom
Electronic total energy = -95.7 eV per formula unit

(7)
DFT (PBE-GGA) results for a relaxed structure of Na3MgNp2Te6.

a b c (Å): 7.6415 7.6415 7.9255
angles (deg): 99.25 99.25 120.01
Last column: nearest neighbours and their distance in Å.
Fractional positions:
Na1 0.0000 0.0000 0.0000  6 Te 3.25-3.28
Na2 0.3320 0.6680 0.0000  6 Te 3.25-3.28
Na3 0.6680 0.3320 0.0000  6 Te 3.25-3.28
Mg1 0.5000 0.5000 0.5000  6 Te 3.04-3.05
Np1 0.1665 0.8335 0.5000  6 Te 3.09
Np2 0.8335 0.1665 0.5000  6 Te 3.09
Te1 0.0952 0.4238 0.2711  1 Mg 3.04, 2 Np 3.09, 3 Na 3.25-3.28
Te2 0.2478 0.2478 0.7295  1 Mg 3.05, 2 Np 3.09, 3 Na 3.26-3.28
Te3 0.4238 0.0952 0.2711  1 Mg 3.04, 2 Np 3.09, 3 Na 3.25-3.28
Te4 0.5762 0.9048 0.7289  1 Mg 3.04, 2 Np 3.09, 3 Na 3.25-3.28
Te5 0.7522 0.7522 0.2705  1 Mg 3.05, 2 Np 3.09, 3 Na 3.26-3.28
Te6 0.9048 0.5762 0.7289  1 Mg 3.04, 2 Np 3.09, 3 Na 3.25-3.28

## Properties
Electronic total energy = -60.1 eV per formula unit
Energy relative to the elements, uncorrected = -0.82 eV per atom

(8)
DFT (PBE-GGA) results for a relaxed structure of Sr4RuPb.

a b c (Å): 6.6547 6.6547 6.6547
angles (deg): 60.00 60.00 60.00
Last column: nearest neighbours and their distance in Å.
Fractional positions:
Sr1 0.3756 0.3756 0.3756  6 Sr 3.31-3.34
Sr2 0.3756 0.3756 0.8731  6 Sr 3.31-3.34
Sr3 0.3756 0.8731 0.3756  6 Sr 3.31-3.34
Sr4 0.8731 0.3756 0.3756  6 Sr 3.31-3.34
Ru1 0.7500 0.7500 0.7500  12 Sr 3.90, 4 Pb 4.08
Pb1 0.0000 0.0000 0.0000  12 Sr 3.90, 4 Ru 4.08

## Properties
ΔH_f (0 K) = 851 meV/atom
Electronic total energy = -14.6 eV per formula unit

(9)
DFT (PBE-GGA) results for a relaxed structure of Nd2Fe5Co12.

a b c (Å): 6.3595 6.3595 6.3595
angles (deg): 82.93 82.93 82.93
Last column: nearest neighbours and their distance in Å.
Fractional positions:
Nd1 0.1568 0.1568 0.1568  15 Co 3.03-3.19, 4 Fe 3.05-3.26
Nd2 0.8432 0.8432 0.8432  15 Co 3.03-3.19, 4 Fe 3.05-3.26
Fe1 0.0000 0.5000 0.5000  8 Co 2.40-2.43, 2 Fe 2.59
Fe2 0.4048 0.4048 0.4048  4 Fe 2.34-2.59
Fe3 0.5000 0.0000 0.5000  8 Co 2.40-2.43, 2 Fe 2.59
Fe4 0.5000 0.5000 0.0000  8 Co 2.40-2.43, 2 Fe 2.59
Fe5 0.5952 0.5952 0.5952  4 Fe 2.34-2.59
Co1 0.1570 0.1570 0.6557  3 Fe 2.43-2.62, 6 Co 2.45-2.64
Co2 0.1570 0.6557 0.1570  3 Fe 2.43-2.62, 6 Co 2.45-2.64
Co3 0.2142 0.5000 0.7858  4 Fe 2.40-2.68, 6 Co 2.41-2.64
Co4 0.2142 0.7858 0.5000  4 Fe 2.40-2.68, 6 Co 2.41-2.64
Co5 0.3443 0.8430 0.8430  3 Fe 2.43-2.62, 6 Co 2.45-2.64
Co6 0.5000 0.2142 0.7858  4 Fe 2.40-2.68, 6 Co 2.41-2.64
Co7 0.5000 0.7858 0.2142  4 Fe 2.40-2.68, 6 Co 2.41-2.64
Co8 0.6557 0.1570 0.1570  3 Fe 2.43-2.62, 6 Co 2.45-2.64
Co9 0.7858 0.2142 0.5000  4 Fe 2.40-2.68, 6 Co 2.41-2.64
Co10 0.7858 0.5000 0.2142  4 Fe 2.40-2.68, 6 Co 2.41-2.64
Co11 0.8430 0.3443 0.8430  3 Fe 2.43-2.62, 6 Co 2.45-2.64
Co12 0.8430 0.8430 0.3443  3 Fe 2.43-2.62, 6 Co 2.45-2.64

## Properties
ΔH_f (0 K) = -55 meV/atom
Electronic total energy = -138.2 eV per formula unit

Question: electronic total energy of number 8 (Sr4RuPb)?
Answer: -14.6 eV per formula unit